Here is KSeBr2 after structural relaxation from Alexandria. Energies are from PBE.

Lattice parameters (Å, degrees): 7.846 7.846 7.846 35.20 35.20 35.20
Site moments in Bohr magnetons follow the coordinates.
Element x y z (fractional)
Br (0.998, 0.998, 0.998)  0.31
Br (0.502, 0.502, 0.502)  0.31
K (0.750, 0.750, 0.750)  0.01
Se (0.250, 0.250, 0.250)  1.37

Values from the calculation:
Space group: R-3m
Formation energy (no corrections) (eV/atom): -0.407
Energy above the lowest structure with this stoichiometry (meV per atom): 347
Calculated volume (Å³/cell): 143.35
Size of the total moment (μB per atom): 0.75

Here is KSeBr2 after structural relaxation from Alexandria. Energies are from PBE.

Lattice parameters (Å, degrees): 6.040 6.040 6.040 136.34 120.07 77.02
Element x y z (fractional)
Br (0.070, 0.070, 0.000)
Br (0.430, 0.430, 0.000)
K (0.750, 0.250, 0.500)
Se (0.250, 0.750, 0.500)

Values from the calculation:
Space group: Immm
Formation energy (no corrections) (eV/atom): -0.589
Energy above the lowest structure with this stoichiometry (meV per atom): 165
Calculated volume (Å³/cell): 128.07
Size of the total moment (μB per atom): 0.01

Here is KSiSeBr2 after structural relaxation from Alexandria. Energies are from PBE.

Lattice parameters (Å, degrees): 5.814 5.814 5.894 90.00 90.00 90.00
Site moments in Bohr magnetons follow the coordinates.
Element x y z (fractional)
K (0.000, 0.000, 0.000)  0.02
Si (0.500, 0.500, 0.500)  -0.21
Se (0.000, 0.000, 0.500)  0.82
Br (0.000, 0.500, 0.000)  0.11
Br (0.500, 0.000, 0.000)  0.11

Values from the calculation:
Space group: P4/mmm
Formation energy (no corrections) (eV/atom): 0.568
Energy above the lowest structure with this stoichiometry (meV per atom): 1222
Calculated volume (Å³/cell): 199.19
Size of the total moment (μB per atom): 0.20

Here is KSiSeBr2 after structural relaxation from Alexandria. Energies are from PBE.

Lattice parameters (Å, degrees): 5.416 5.416 4.857 90.00 90.00 90.00
Element x y z (fractional)
K (0.500, 0.500, 0.500)
Si (0.000, 0.000, 0.000)
Se (0.000, 0.000, 0.500)
Br (0.000, 0.500, 0.000)
Br (0.500, 0.000, 0.000)

Values from the calculation:
Space group: P4/mmm
Formation energy (no corrections) (eV/atom): -0.654
Energy above the lowest structure with this stoichiometry (meV per atom): 0
Calculated volume (Å³/cell): 142.50
Size of the total moment (μB per atom): 0.00

Here is KSmSeBr after structural relaxation from Alexandria. Energies are from PBE.

Lattice parameters (Å, degrees): 4.189 4.189 8.458 90.00 104.34 120.00
Element x y z (fractional)
K (0.487, 0.141, 0.644)
Sm (0.121, 0.958, 0.095)
Se (0.322, 0.559, 0.896)
Br (0.948, 0.372, 0.335)

Values from the calculation:
Space group: R3m
Formation energy (no corrections) (eV/atom): -1.507
Calculated volume (Å³/cell): 123.17
Size of the total moment (μB per atom): 0.00

Here is KSnSeBr2 after structural relaxation from Alexandria. Energies are from PBE.

Lattice parameters (Å, degrees): 5.782 5.782 5.266 90.00 90.00 90.00
Element x y z (fractional)
K (0.500, 0.500, 0.500)
Se (0.000, 0.000, 0.500)
Sn (0.000, 0.000, 0.000)
Br (0.000, 0.500, 0.000)
Br (0.500, 0.000, 0.000)

Values from the calculation:
Space group: P4/mmm
Formation energy (no corrections) (eV/atom): -0.843
Energy above the lowest structure with this stoichiometry (meV per atom): 0
Calculated volume (Å³/cell): 176.04
Size of the total moment (μB per atom): 0.00

Here is KSnSeBr after structural relaxation from Alexandria. Energies are from PBE.

Lattice parameters (Å, degrees): 4.443 4.446 9.231 76.05 76.11 60.02
Element x y z (fractional)
K (0.715, 0.978, 0.543)
Sn (0.567, 0.829, 0.988)
Se (0.952, 0.215, 0.832)
Br (0.450, 0.713, 0.339)

Values from the calculation:
Space group: Cm
Formation energy (no corrections) (eV/atom): -0.897
Calculated volume (Å³/cell): 151.75
Size of the total moment (μB per atom): 0.00

Here is KSnSeBr2 after structural relaxation from Alexandria. Energies are from PBE.

Lattice parameters (Å, degrees): 5.731 5.731 5.846 90.00 90.00 90.00
Site moments in Bohr magnetons follow the coordinates.
Element x y z (fractional)
K (0.000, 0.000, 0.000)  0.02
Se (0.000, 0.000, 0.500)  0.58
Sn (0.500, 0.500, 0.500)  -0.06
Br (0.000, 0.500, 0.000)  0.07
Br (0.500, 0.000, 0.000)  0.07

Values from the calculation:
Space group: P4/mmm
Formation energy (no corrections) (eV/atom): -0.005
Energy above the lowest structure with this stoichiometry (meV per atom): 838
Calculated volume (Å³/cell): 191.99
Size of the total moment (μB per atom): 0.21

Here is KSrSeBr after structural relaxation from Alexandria. Energies are from PBE.

Lattice parameters (Å, degrees): 4.570 4.570 8.173 73.77 73.77 60.00
Element x y z (fractional)
K (0.743, 0.743, 0.772)
Sr (0.259, 0.259, 0.222)
Se (0.990, 0.990, 0.029)
Br (0.507, 0.507, 0.478)

Values from the calculation:
Space group: R3m
Formation energy (no corrections) (eV/atom): -1.816
Calculated volume (Å³/cell): 139.88
Size of the total moment (μB per atom): 0.00

Here is KTaSeBr2 after structural relaxation from Alexandria. Energies are from PBE.

Lattice parameters (Å, degrees): 5.448 5.448 5.012 90.00 90.00 90.00
Site moments in Bohr magnetons follow the coordinates.
Element x y z (fractional)
K (0.500, 0.500, 0.500)  0.00
Se (0.000, 0.000, 0.500)  -0.03
Br (0.000, 0.500, 0.000)  0.03
Br (0.500, 0.000, 0.000)  0.03
Ta (0.000, 0.000, 0.000)  1.15

Values from the calculation:
Space group: P4/mmm
Formation energy (no corrections) (eV/atom): -0.711
Energy above the lowest structure with this stoichiometry (meV per atom): 0
Calculated volume (Å³/cell): 148.78
Size of the total moment (μB per atom): 0.33

Here is KTaSeBr2 after structural relaxation from Alexandria. Energies are from PBE.

Lattice parameters (Å, degrees): 5.586 5.586 5.748 90.00 90.00 90.00
Site moments in Bohr magnetons follow the coordinates.
Element x y z (fractional)
K (0.000, 0.000, 0.000)  -0.02
Se (0.000, 0.000, 0.500)  -0.65
Br (0.000, 0.500, 0.000)  -0.10
Br (0.500, 0.000, 0.000)  -0.10
Ta (0.500, 0.500, 0.500)  2.21

Values from the calculation:
Space group: P4/mmm
Formation energy (no corrections) (eV/atom): 1.073
Energy above the lowest structure with this stoichiometry (meV per atom): 1785
Calculated volume (Å³/cell): 179.32
Size of the total moment (μB per atom): 0.40

Here is KTiSeBr2 after structural relaxation from Alexandria. Energies are from PBE.

Lattice parameters (Å, degrees): 5.709 5.709 5.786 90.00 90.00 90.00
Site moments in Bohr magnetons follow the coordinates.
Element x y z (fractional)
K (0.000, 0.000, 0.000)  -0.02
Se (0.000, 0.000, 0.500)  -0.65
Br (0.000, 0.500, 0.000)  -0.10
Br (0.500, 0.000, 0.000)  -0.10
Ti (0.500, 0.500, 0.500)  1.97

Values from the calculation:
Space group: P4/mmm
Formation energy (no corrections) (eV/atom): 0.322
Energy above the lowest structure with this stoichiometry (meV per atom): 1515
Calculated volume (Å³/cell): 188.56
Size of the total moment (μB per atom): 0.20